[1]
Compound: Cd3Fe
Source: Alexandria
Functional: GGA-PBE
Structure: optimized geometry

Calculated values
- ρ: 8.8 Mg/m³

a = 4.2070 Å, b = 4.2070 Å, c = 4.2070 Å
α = 90.00°, β = 90.00°, γ = 90.00°
Space group Pm-3m (No. 221)
Inequivalent atoms, fractional coordinates:
Cd: 0.0000 0.0000 0.5000 x3
Fe: 0.5000 0.5000 0.5000 x1

***

[2]
Compound: Cd4Fe3
Source: Alexandria
Functional: GGA-PBE
Structure: optimized geometry

Calculated values
- ρ: 8.5 Mg/m³
- Energy relative to the lowest polymorph listed for this composition: 0 meV per atom

a = 3.0145 Å, b = 3.0145 Å, c = 26.3847 Å
α = 90.00°, β = 90.00°, γ = 90.00°
Space group I4/mmm (No. 139)
Inequivalent atoms, fractional coordinates:
Cd: 0.0000 0.0000 0.0703 x4
Cd: 0.0000 0.0000 0.3418 x4
Fe: 0.0000 0.0000 0.2287 x4
Fe: 0.0000 0.0000 0.5000 x2

***

In meV per atom, the formation energy from the elements values for the records above are, in order, 249, 230.